Density functional theory data (PBE-GGA) for a relaxed structure of Ca6Ir7.

Results
* magnetization: 1.01 μB/f.u.
* energy of formation: -312 meV/atom

Cell: 10.375 10.375 10.375 Å, 30.86 30.86 30.86°
Positions (direct):
Ca: 0.057 0.057 0.057
Ca: 0.154 0.154 0.154
Ca: 0.340 0.340 0.340
Ca: 0.660 0.660 0.660
Ca: 0.846 0.846 0.846
Ca: 0.943 0.943 0.943
Ir: 0.086 0.599 0.599
Ir: 0.401 0.401 0.914
Ir: 0.401 0.914 0.401
Ir: 0.500 0.500 0.500
Ir: 0.599 0.086 0.599
Ir: 0.599 0.599 0.086
Ir: 0.914 0.401 0.401